Record 1
First-principles (PBE) data for a relaxed structure of La2FeCu, as listed in Alexandria via LeMat-Bulk.

```
data_La2FeCu
_symmetry_space_group_name_H-M 'P 4 m m'
_symmetry_Int_Tables_number 99
_symmetry_space_group_name_Hall 'P 4 -2'
_cell_length_a 3.433
_cell_length_b 3.433
_cell_length_c 8.182
_cell_angle_alpha 90.00
_cell_angle_beta 90.00
_cell_angle_gamma 90.00
loop_
_atom_site_label
_atom_site_fract_x
_atom_site_fract_y
_atom_site_fract_z
La1 0.000 0.000 0.000
La2 0.500 0.500 0.410
Fe1 0.500 0.500 0.756
Cu1 0.000 0.000 0.642
```

Magnetic moment: 2.1 μB per cell
Energy of formation: 0.749 eV/f.u.
ρ: 6.8 g/cm³

***

Record 2
First-principles (PBE) data for a relaxed structure of LaFeCu2, as listed in Alexandria via LeMat-Bulk.

```
data_LaFeCu2
_symmetry_space_group_name_H-M 'R -3 m'
_symmetry_Int_Tables_number 166
_symmetry_space_group_name_Hall '-R 3 2"'
_cell_length_a 3.0694
_cell_length_b 3.0694
_cell_length_c 26.2383
_cell_angle_alpha 90.00
_cell_angle_beta 90.00
_cell_angle_gamma 120.00
loop_
_atom_site_label
_atom_site_fract_x
_atom_site_fract_y
_atom_site_fract_z
La1 0.0000 0.0000 0.0000
Fe1 0.0000 0.0000 0.5000
Cu1 0.0000 0.0000 0.2339
```

Magnetic moment: 7.2 μB per cell
Energy of formation: 2.086 eV/f.u.
ρ: 7.5 g/cm³

***

Record 3
First-principles (PBE) data for a relaxed structure of La2FeCu, as listed in Alexandria via LeMat-Bulk.

```
data_La2FeCu
_symmetry_space_group_name_H-M 'I -4 m 2'
_symmetry_Int_Tables_number 119
_symmetry_space_group_name_Hall 'I -4 -2'
_cell_length_a 4.314
_cell_length_b 4.314
_cell_length_c 9.531
_cell_angle_alpha 90.00
_cell_angle_beta 90.00
_cell_angle_gamma 90.00
loop_
_atom_site_label
_atom_site_fract_x
_atom_site_fract_y
_atom_site_fract_z
La1 0.000 0.000 0.000
La2 0.000 0.500 0.250
Fe1 0.000 0.000 0.500
Cu1 0.000 0.500 0.750
```

Magnetic moment: 2.8 μB per cell
Energy of formation: 0.965 eV/f.u.
ρ: 7.4 g/cm³

***

Number 1: raw total energy -21.7 eV for the cell shown. Number 2: raw total energy -58.5 eV for the cell shown. Number 3: raw total energy -42.9 eV for the cell shown.